Computed, not measured: an optimized crystal structure of PuZnIrPt at the PBE level of DFT.

The space group is F-43m (No. 216) and the conventional cell measures 6.587, 6.587 and 6.587 Å, with angles of 90.00, 90.00 and 90.00 degrees. The inequivalent atoms are Pu at (0.000, 0.000, 0.000), Zn at (0.000, 0.000, 0.500), Ir at (0.250, 0.250, 0.750) and Pt at (0.250, 0.250, 0.250).

For the formation energy, the calculation gives -0.40 eV per atom. Its density of states at the Fermi level is 6.725 states/eV/f.u.

Computed, not measured: an optimized crystal structure of RbIr3Pt at the PBE level of DFT.

The space group is Pm-3m (No. 221) and the conventional cell measures 4.957, 4.957 and 4.957 Å, with angles of 90.00, 90.00 and 90.00 degrees. The inequivalent atoms are Rb at (0.000, 0.000, 0.000), Ir at (0.000, 0.500, 0.500) and Pt at (0.500, 0.500, 0.500).

For the formation energy, the calculation gives 1.66 eV per atom. Its density of states at the Fermi level is 6.350 states/eV/f.u.

Computed, not measured: an optimized crystal structure of RbIr2Pt at the PBE level of DFT.

The space group is Fm-3m (No. 225) and the conventional cell measures 6.674, 6.674 and 6.674 Å, with angles of 90.00, 90.00 and 90.00 degrees. The inequivalent atoms are Rb at (0.000, 0.000, 0.000), Ir at (0.250, 0.250, 0.250) and Pt at (0.000, 0.000, 0.500).

For the formation energy, the calculation gives 1.47 eV per atom. Its density of states at the Fermi level is 5.265 states/eV/f.u.

Computed, not measured: an optimized crystal structure of RbIr2Pt at the PBE level of DFT.

The space group is I-42d (No. 122) and the conventional cell measures 4.895, 4.895 and 18.038 Å, with angles of 90.00, 90.00 and 90.00 degrees. The inequivalent atoms are Rb at (0.000, 0.000, 0.000), Ir at (0.024, 0.750, 0.625) and Pt at (0.000, 0.000, 0.500).

For the formation energy, the calculation gives 0.80 eV per atom. Its density of states at the Fermi level is 5.267 states/eV/f.u.

Computed, not measured: an optimized crystal structure of RbIr3Pt at the PBE level of DFT.

The space group is Pm-3m (No. 221) and the conventional cell measures 4.767, 4.767 and 4.767 Å, with angles of 90.00, 90.00 and 90.00 degrees. The inequivalent atoms are Rb at (0.000, 0.000, 0.000), Ir at (0.000, 0.000, 0.500) and Pt at (0.500, 0.500, 0.500).

For the formation energy, the calculation gives 3.45 eV per atom. Its density of states at the Fermi level is 8.913 states/eV/f.u.

Computed, not measured: an optimized crystal structure of Rb2IrPtS4 at the PBE level of DFT.

The space group is Fddd (No. 70, origin choice 2) and the conventional cell measures 5.827, 13.642 and 22.973 Å, with angles of 90.00, 90.00 and 90.00 degrees. The inequivalent atoms are Rb at (0.125, 0.125, 0.306), Ir at (0.125, 0.125, 0.125), Pt at (0.125, 0.125, 0.625) and S at (0.112, 0.280, 0.430).

Its density of states at the Fermi level is 3.008 states/eV/f.u. As for the energy relative to the elements, uncorrected: -0.492 eV per atom.

Computed, not measured: an optimized crystal structure of RbSiIrPt2 at the PBE level of DFT.

The space group is P4/mmm (No. 123) and the conventional cell measures 4.534, 4.534 and 5.556 Å, with angles of 90.00, 90.00 and 90.00 degrees. The inequivalent atoms are Rb at (0.000, 0.000, 0.000), Si at (0.000, 0.000, 0.500), Ir at (0.500, 0.500, 0.000) and Pt at (0.000, 0.500, 0.500).

Its density of states at the Fermi level is 5.845 states/eV/f.u. As for the energy relative to the elements, uncorrected: 1.117 eV per atom.

Computed, not measured: an optimized crystal structure of RbZr2IrPt at the PBE level of DFT.

The space group is P4/mmm (No. 123) and the conventional cell measures 4.919, 4.919 and 4.769 Å, with angles of 90.00, 90.00 and 90.00 degrees. The inequivalent atoms are Rb at (0.000, 0.000, 0.000), Zr at (0.000, 0.500, 0.000), Ir at (0.500, 0.500, 0.500) and Pt at (0.000, 0.000, 0.500).

For the formation energy, the calculation gives 2.28 eV per atom. Its density of states at the Fermi level is 5.505 states/eV/f.u.

Computed, not measured: an optimized crystal structure of Re2IrPt at the PBE level of DFT.

The space group is Fm-3m (No. 225) and the conventional cell measures 6.263, 6.263 and 6.263 Å, with angles of 90.00, 90.00 and 90.00 degrees. The inequivalent atoms are Re at (0.250, 0.250, 0.250), Ir at (0.000, 0.000, 0.000) and Pt at (0.000, 0.000, 0.500).

For the formation energy, the calculation gives 0.55 eV per atom. Its density of states at the Fermi level is 8.196 states/eV/f.u.

Computed, not measured: an optimized crystal structure of ReIr2Pt2 at the PBE level of DFT.

The space group is I4/mmm (No. 139) and the conventional cell measures 2.757, 2.757 and 19.793 Å, with angles of 90.00, 90.00 and 90.00 degrees. The inequivalent atoms are Re at (0.000, 0.000, 0.000), Ir at (0.000, 0.000, 0.406) and Pt at (0.000, 0.000, 0.198).

For the formation energy, the calculation gives -0.13 eV per atom. Its density of states at the Fermi level is 5.039 states/eV/f.u.

Computed, not measured: an optimized crystal structure of ReIrPt4 at the PBE level of DFT.

The space group is F-43m (No. 216) and the conventional cell measures 7.296, 7.296 and 7.296 Å, with angles of 90.00, 90.00 and 90.00 degrees. The inequivalent atoms are Re at (0.000, 0.000, 0.000), Ir at (0.250, 0.250, 0.750) and Pt at (0.125, 0.125, 0.375).

For the formation energy, the calculation gives 0.59 eV per atom. Its density of states at the Fermi level is 7.602 states/eV/f.u.

Computed, not measured: an optimized crystal structure of Re2IrPt at the PBE level of DFT.

The space group is P4/mmm (No. 123) and the conventional cell measures 2.719, 2.719 and 8.046 Å, with angles of 90.00, 90.00 and 90.00 degrees. The inequivalent atoms are Re at (0.000, 0.000, 0.244), Ir at (0.500, 0.500, 0.000) and Pt at (0.500, 0.500, 0.500).

For the formation energy, the calculation gives -0.07 eV per atom. Its density of states at the Fermi level is 3.482 states/eV/f.u.

Computed, not measured: an optimized crystal structure of ReIrPt2 at the PBE level of DFT.

The space group is I-42d (No. 122) and the conventional cell measures 7.095, 7.095 and 5.329 Å, with angles of 90.00, 90.00 and 90.00 degrees. The inequivalent atoms are Re at (0.000, 0.000, 0.000), Ir at (0.000, 0.000, 0.500) and Pt at (0.237, 0.250, 0.125).

For the formation energy, the calculation gives 0.60 eV per atom. Its density of states at the Fermi level is 4.664 states/eV/f.u.

Computed, not measured: an optimized crystal structure of ReIr5Pt2 at the PBE level of DFT.

The space group is I4/mmm (No. 139) and the conventional cell measures 3.894, 3.894 and 15.683 Å, with angles of 90.00, 90.00 and 90.00 degrees. The inequivalent atoms are Re at (0.000, 0.000, 0.000), Ir at (0.000, 0.000, 0.500), Ir at (0.000, 0.500, 0.119) and Pt at (0.000, 0.000, 0.253).

For the formation energy, the calculation gives -0.08 eV per atom. Its density of states at the Fermi level is 6.828 states/eV/f.u.

Computed, not measured: an optimized crystal structure of ReIrPt at the PBE level of DFT.

The space group is I4mm (No. 107) and the conventional cell measures 2.758, 2.758 and 11.857 Å, with angles of 90.00, 90.00 and 90.00 degrees. The inequivalent atoms are Re at (0.000, 0.000, 0.000), Ir at (0.000, 0.000, 0.348) and Pt at (0.000, 0.000, 0.667).

For the formation energy, the calculation gives -0.11 eV per atom. Its density of states at the Fermi level is 4.843 states/eV/f.u.

Computed, not measured: an optimized crystal structure of ReIrPt2 at the PBE level of DFT.

The space group is P4/mmm (No. 123) and the conventional cell measures 2.755, 2.755 and 7.952 Å, with angles of 90.00, 90.00 and 90.00 degrees. The inequivalent atoms are Re at (0.000, 0.000, 0.000), Ir at (0.000, 0.000, 0.500) and Pt at (0.500, 0.500, 0.243).

For the formation energy, the calculation gives 0.00 eV per atom. Its density of states at the Fermi level is 4.388 states/eV/f.u.

Computed, not measured: an optimized crystal structure of Re2IrPt at the PBE level of DFT.

The space group is R-3m (No. 166, hexagonal axes) and the conventional cell measures 2.7644, 2.7644 and 27.0206 Å, with angles of 90.00, 90.00 and 120.00 degrees. The inequivalent atoms are Re at (0.0000, 0.0000, 0.2485), Ir at (0.0000, 0.0000, 0.5000) and Pt at (0.0000, 0.0000, 0.0000).

For the formation energy, the calculation gives -0.04 eV per atom. Its density of states at the Fermi level is 2.723 states/eV/f.u.

Computed, not measured: an optimized crystal structure of Re2IrPt at the PBE level of DFT.

The space group is I-4m2 (No. 119) and the conventional cell measures 3.937, 3.937 and 7.684 Å, with angles of 90.00, 90.00 and 90.00 degrees. The inequivalent atoms are Re at (0.000, 0.000, 0.000), Re at (0.000, 0.500, 0.250), Ir at (0.000, 0.500, 0.750) and Pt at (0.000, 0.000, 0.500).

For the formation energy, the calculation gives -0.06 eV per atom. Its density of states at the Fermi level is 3.078 states/eV/f.u.

Computed, not measured: an optimized crystal structure of ReIrPt2 at the PBE level of DFT.

The space group is R3m (No. 160, hexagonal axes) and the conventional cell measures 2.7760, 2.7760 and 27.3113 Å, with angles of 90.00, 90.00 and 120.00 degrees. The inequivalent atoms are Re at (0.0000, 0.0000, 0.0000), Ir at (0.0000, 0.0000, 0.2568), Pt at (0.0000, 0.0000, 0.5036) and Pt at (0.0000, 0.0000, 0.7494).

For the formation energy, the calculation gives -0.13 eV per atom. Its density of states at the Fermi level is 4.053 states/eV/f.u.

Computed, not measured: an optimized crystal structure of Re2IrPt at the PBE level of DFT.

The space group is P4mm (No. 99) and the conventional cell measures 3.309, 3.309 and 5.564 Å, with angles of 90.00, 90.00 and 90.00 degrees. The inequivalent atoms are Re at (0.000, 0.000, 0.000), Re at (0.500, 0.500, 0.253), Ir at (0.000, 0.000, 0.496) and Pt at (0.500, 0.500, 0.744).

For the formation energy, the calculation gives 0.22 eV per atom. Its density of states at the Fermi level is 4.056 states/eV/f.u.

Number 1: total magnetic moment 17.93 μB/cell. Number 2: total magnetic moment 3.41 μB/cell. Number 3: total magnetic moment 10.75 μB/cell. Number 4: total magnetic moment 0.00 μB/cell. Number 5: total magnetic moment 2.91 μB/cell. Number 6: total magnetic moment 0.00 μB/cell. Number 7: total magnetic moment 0.66 μB/cell. Number 8: total magnetic moment 0.00 μB/cell. Number 9: total magnetic moment 0.00 μB/cell. Number 10: total magnetic moment 0.00 μB/cell. Number 11: total magnetic moment 2.33 μB/cell. Number 12: total magnetic moment 0.00 μB/cell. Number 13: total magnetic moment 0.00 μB/cell. Number 14: total magnetic moment 0.00 μB/cell. Number 15: total magnetic moment 0.00 μB/cell. Number 16: total magnetic moment 0.00 μB/cell. Number 17: total magnetic moment 0.00 μB/cell. Number 18: total magnetic moment 0.00 μB/cell. Number 19: total magnetic moment 0.00 μB/cell. Number 20: total magnetic moment 0.00 μB/cell.